Record 1
# Y10Te3Pb3

A geometry-optimized Y10Te3Pb3 structure (GGA-PBE, Alexandria).

Unit cell a=6.362 b=9.081 c=9.081 alpha=120.00 beta=90.00 gamma=90.00
Sites, in units of the cell vectors:
Te 0.000 0.615 0.000
Te 0.000 0.385 0.385
Te 0.000 0.000 0.615
Pb 0.500 0.609 0.609
Pb 0.500 0.000 0.391
Pb 0.500 0.391 0.000
Y 0.000 0.753 0.753
Y 0.500 0.000 0.756
Y 0.500 0.244 0.244
Y 0.751 0.333 0.667
Y 0.249 0.333 0.667
Y 0.751 0.667 0.333
Y 0.500 0.756 0.000
Y 0.249 0.667 0.333
Y 0.000 0.247 0.000
Y 0.000 0.000 0.247

Properties
Uncorrected formation energy in meV/atom: -783
E in eV per atom: -6.107



Record 2
# Y2NiBr2

A geometry-optimized Y2NiBr2 structure (GGA-PBE, Alexandria).

Unit cell a=3.906 b=3.906 c=11.109 alpha=79.88 beta=79.88 gamma=60.00
Sites, in units of the cell vectors:
Y 0.382 0.382 0.854
Y 0.618 0.618 0.146
Ni 0.000 0.000 0.000
Br 0.225 0.225 0.324
Br 0.775 0.775 0.676

Properties
Uncorrected formation energy in meV/atom: -1139
E in eV per atom: -5.550



Record 3
# Ti2Ga3Tc

A geometry-optimized Ti2Ga3Tc structure (GGA-PBE, Alexandria).

Unit cell a=4.158 b=8.326 c=7.056 alpha=126.16 beta=107.14 gamma=90.00
Sites, in units of the cell vectors:
Ti 0.340 0.840 0.680
Ti 0.660 0.660 0.320
Ti 0.660 0.160 0.320
Ti 0.340 0.340 0.680
Ga 0.164 0.914 0.328
Ga 0.836 0.586 0.672
Ga 0.164 0.414 0.328
Ga 0.500 0.250 0.000
Ga 0.500 0.750 0.000
Ga 0.836 0.086 0.672
Tc 0.000 0.000 0.000
Tc 0.000 0.500 0.000

Properties
Energy of formation from the pure elements in eV per atom: -0.36
E in eV per atom: -6.236



Record 4
# TiHg5

A geometry-optimized TiHg5 structure (GGA-PBE, Alexandria).

Unit cell a=4.495 b=4.377 c=7.101 alpha=107.95 beta=90.00 gamma=90.00
Sites, in units of the cell vectors:
Hg 0.500 0.500 0.000
Hg 0.500 0.159 0.318
Hg 0.000 0.338 0.676
Hg 0.000 0.662 0.324
Hg 0.500 0.841 0.682
Ti 0.000 0.000 0.000

Properties
Energy of formation from the pure elements in eV per atom: 0.13
E in eV per atom: -1.435



Record 5
# Rb2AsI2Br4

A geometry-optimized Rb2AsI2Br4 structure (GGA-PBE, Alexandria).

Unit cell a=7.723 b=7.723 c=7.723 alpha=94.37 beta=117.51 gamma=117.51
Sites, in units of the cell vectors:
I 0.000 0.267 0.267
I 0.000 0.733 0.733
Rb 0.500 0.250 0.750
Rb 0.500 0.750 0.250
Br 0.462 0.231 0.231
Br 0.000 0.231 0.769
Br 0.538 0.769 0.769
Br 0.000 0.769 0.231
As 0.000 0.000 0.000

Properties
Uncorrected formation energy in meV/atom: -873
E in eV per atom: -2.693



Record 6
# PmNdOsO6

A geometry-optimized PmNdOsO6 structure (GGA-PBE, Alexandria).

Unit cell a=5.670 b=5.670 c=9.619 alpha=90.00 beta=90.00 gamma=120.00
Sites, in units of the cell vectors:
O 0.377 0.056 0.135
O 0.678 0.623 0.135
O 0.623 0.678 0.635
O 0.944 0.322 0.135
O 0.623 0.944 0.865
O 0.678 0.056 0.365
O 0.322 0.944 0.635
O 0.944 0.623 0.365
O 0.377 0.322 0.365
O 0.322 0.377 0.865
O 0.056 0.377 0.635
O 0.056 0.678 0.865
Os 0.667 0.333 0.250
Os 0.333 0.667 0.750
Nd 0.667 0.333 0.750
Nd 0.333 0.667 0.250
Pm 0.000 0.000 0.000
Pm 0.000 0.000 0.500

Properties
Uncorrected formation energy in meV/atom: -2274
E in eV per atom: -7.885



Record 7
# ScMo2P

A geometry-optimized ScMo2P structure (GGA-PBE, Alexandria).

Unit cell a=3.776 b=3.776 c=9.992 alpha=79.11 beta=79.11 gamma=90.00
Sites, in units of the cell vectors:
P 0.500 0.500 0.000
P 0.250 0.750 0.500
Mo 0.152 0.125 0.250
Mo 0.375 0.848 0.750
Mo 0.598 0.625 0.250
Mo 0.875 0.402 0.750
Sc 0.750 0.250 0.500
Sc 0.000 0.000 0.000

Properties
Energy of formation from the pure elements in eV per atom: 0.02
E in eV per atom: -8.330



Record 8
# YRuN2O

A geometry-optimized YRuN2O structure (GGA-PBE, Alexandria).

Unit cell a=4.419 b=4.419 c=4.220 alpha=90.00 beta=90.00 gamma=90.00
Sites, in units of the cell vectors:
N 0.500 0.000 0.000
N 0.000 0.500 0.000
Ru 0.500 0.500 0.500
O 0.000 0.000 0.500
Y 0.000 0.000 0.000

Properties
Uncorrected formation energy in meV/atom: 1125
E in eV per atom: -6.345



Record 9
# Sr3In2SnHg6

A geometry-optimized Sr3In2SnHg6 structure (GGA-PBE, Alexandria).

Unit cell a=6.447 b=6.447 c=9.918 alpha=90.00 beta=90.00 gamma=120.00
Sites, in units of the cell vectors:
In 0.333 0.667 0.980
In 0.667 0.333 0.020
Hg 0.353 0.177 0.738
Hg 0.177 0.353 0.262
Hg 0.177 0.823 0.262
Hg 0.647 0.823 0.262
Hg 0.823 0.177 0.738
Hg 0.823 0.647 0.738
Sr 0.667 0.333 0.394
Sr 0.333 0.667 0.606
Sr 0.000 0.000 0.000
Sn 0.000 0.000 0.500

Properties
Energy of formation from the pure elements in eV per atom: -0.29
E in eV per atom: -1.647



Record 10
# BaSrRu2

A geometry-optimized BaSrRu2 structure (GGA-PBE, Alexandria).

Unit cell a=4.166 b=4.166 c=9.188 alpha=77.05 beta=77.05 gamma=60.00
Sites, in units of the cell vectors:
Ba 0.286 0.286 0.145
Ru 0.035 0.035 0.895
Ru 0.718 0.718 0.846
Sr 0.461 0.461 0.614

Properties
ΔE to the lowest computed polymorph in meV per atom: 0.0
Energy of formation from the pure elements in eV per atom: 0.18
E in eV per atom: -5.355



Record 11
# P2PdO2

A geometry-optimized P2PdO2 structure (GGA-PBE, Alexandria).

Unit cell a=4.666 b=4.666 c=3.806 alpha=90.00 beta=90.00 gamma=90.00
Sites, in units of the cell vectors:
O 0.000 0.000 0.500
O 0.500 0.500 0.500
Pd 0.000 0.000 0.000
P 0.000 0.500 0.000
P 0.500 0.000 0.000

Properties
Uncorrected formation energy in meV/atom: 1029
ΔE to the lowest computed polymorph in meV per atom: 1444.6
E in eV per atom: -4.157



Record 12
# ScNbRe2Sn

A geometry-optimized ScNbRe2Sn structure (GGA-PBE, Alexandria).

Unit cell a=4.868 b=4.961 c=4.868 alpha=90.00 beta=90.00 gamma=90.00
Sites, in units of the cell vectors:
Re 0.500 0.000 0.000
Re 0.000 0.000 0.500
Sn 0.000 0.000 0.000
Nb 0.000 0.500 0.000
Sc 0.500 0.500 0.500

Properties
Energy of formation from the pure elements in eV per atom: 1.88
E in eV per atom: -7.177